[1]
# BaCd2Hg PBE-GGA optimized geometry
# density of states at the Fermi level	5.86	states/eV per cell
# calculated formation energy	-0.088	eV per atom
data_BaCd2Hg
_symmetry_space_group_name_H-M 'C 1 2/m 1'
_symmetry_Int_Tables_number 12
_cell_length_a 6.666
_cell_length_b 12.003
_cell_length_c 3.828
_cell_angle_alpha 90.00
_cell_angle_beta 120.70
_cell_angle_gamma 90.00
loop_
_symmetry_equiv_pos_as_xyz
'x,y,z'
'-x,-y,-z'
'-x,y,-z'
'x,-y,z'
'x+1/2,y+1/2,z'
'-x+1/2,-y+1/2,-z'
'-x+1/2,y+1/2,-z'
'x+1/2,-y+1/2,z'
loop_
_atom_site_label
_atom_site_type_symbol
_atom_site_fract_x
_atom_site_fract_y
_atom_site_fract_z
Ba1 Ba 0.000 0.000 0.000
Cd1 Cd 0.250 0.250 0.500
Hg1 Hg 0.000 0.500 0.000



[2]
# Li2B2Pd5Pt PBE-GGA optimized geometry
# density of states at the Fermi level	9.01	states/eV per cell
# calculated formation energy	-0.342	eV per atom
data_Li2B2Pd5Pt
_symmetry_space_group_name_H-M 'P 4/m b m'
_symmetry_Int_Tables_number 127
_symmetry_space_group_name_Hall '-P 4 2ab'
_cell_length_a 9.769
_cell_length_b 9.769
_cell_length_c 2.917
_cell_angle_alpha 90.00
_cell_angle_beta 90.00
_cell_angle_gamma 90.00
loop_
_atom_site_label
_atom_site_type_symbol
_atom_site_fract_x
_atom_site_fract_y
_atom_site_fract_z
Li1 Li 0.180 0.320 0.000
B1 B 0.126 0.626 0.000
Pd1 Pd 0.000 0.500 0.500
Pd2 Pd 0.069 0.773 0.500
Pt1 Pt 0.000 0.000 0.000



[3]
# La8PrNd6 PBE-GGA optimized geometry
# density of states at the Fermi level	74.52	states/eV per cell
# calculated formation energy	0.124	eV per atom
# energy relative to the lowest polymorph listed for this composition	0.0	meV/atom
data_La8PrNd6
_symmetry_space_group_name_H-M 'R -3'
_symmetry_Int_Tables_number 148
_symmetry_space_group_name_Hall '-R 3'
_cell_length_a 9.6492
_cell_length_b 9.6492
_cell_length_c 20.3165
_cell_angle_alpha 90.00
_cell_angle_beta 90.00
_cell_angle_gamma 120.00
loop_
_atom_site_label
_atom_site_type_symbol
_atom_site_fract_x
_atom_site_fract_y
_atom_site_fract_z
La1 La 0.0000 0.0000 0.0742
La2 La 0.0671 0.2467 0.6635
Pr1 Pr 0.0000 0.0000 0.5000
Nd1 Nd 0.0452 0.2514 0.1888